Entry 1:
# TcPd2Au

Crystalline TcPd2Au at its relaxed geometry (PBE-GGA, OQMD via LeMat-Bulk).

**E_form**: 0.314 eV per atom

POSCAR file:
```
TcPd2Au
1.0
6.317 0.000 0.000
0.000 6.317 0.000
0.000 0.000 6.317
Tc Pd Au
4 8 4
Cartesian
0.000 0.000 0.000
0.000 3.159 3.159
3.159 0.000 3.159
3.159 3.159 0.000
0.000 0.000 3.159
0.000 3.159 0.000
1.579 1.579 4.738
1.579 4.738 1.579
3.159 0.000 0.000
3.159 3.159 3.159
4.738 1.579 1.579
4.738 4.738 4.738
1.579 1.579 1.579
1.579 4.738 4.738
4.738 1.579 4.738
4.738 4.738 1.579
```

***

Entry 2:
# TcPdAu2

Crystalline TcPdAu2 at its relaxed geometry (PBE-GGA, OQMD via LeMat-Bulk).

**E_form**: 0.342 eV per atom

POSCAR file:
```
TcPdAu2
1.0
6.466 0.000 0.000
0.000 6.466 0.000
0.000 0.000 6.466
Tc Pd Au
4 4 8
Cartesian
0.000 0.000 0.000
0.000 3.233 3.233
3.233 0.000 3.233
3.233 3.233 0.000
1.617 1.617 4.850
1.617 4.850 1.617
4.850 1.617 1.617
4.850 4.850 4.850
0.000 0.000 3.233
0.000 3.233 0.000
1.617 1.617 1.617
1.617 4.850 4.850
3.233 0.000 0.000
3.233 3.233 3.233
4.850 1.617 4.850
4.850 4.850 1.617
```

***

Entry 3:
# Tc2PdAu

Crystalline Tc2PdAu at its relaxed geometry (PBE-GGA, OQMD via LeMat-Bulk).

**E_form**: 0.418 eV per atom

POSCAR file:
```
Tc2PdAu
1.0
6.313 0.000 0.000
0.000 6.313 0.000
0.000 0.000 6.313
Tc Pd Au
8 4 4
Cartesian
0.000 0.000 0.000
0.000 3.157 3.157
1.578 1.578 1.578
1.578 4.735 4.735
3.157 0.000 3.157
3.157 3.157 0.000
4.735 1.578 4.735
4.735 4.735 1.578
0.000 0.000 3.157
0.000 3.157 0.000
3.157 0.000 0.000
3.157 3.157 3.157
1.578 1.578 4.735
1.578 4.735 1.578
4.735 1.578 1.578
4.735 4.735 4.735
```

***

Entry 4:
# Te2PdAu

Crystalline Te2PdAu at its relaxed geometry (PBE-GGA, OQMD via LeMat-Bulk).

**E_tot**: -3.387 eV per atom

POSCAR file:
```
Te2PdAu
1.0
7.081 0.000 0.000
0.000 7.081 0.000
0.000 0.000 7.081
Te Pd Au
8 4 4
Cartesian
0.000 0.000 0.000
0.000 3.541 3.541
1.770 1.770 1.770
1.770 5.311 5.311
3.541 0.000 3.541
3.541 3.541 0.000
5.311 1.770 5.311
5.311 5.311 1.770
0.000 0.000 3.541
0.000 3.541 0.000
3.541 0.000 0.000
3.541 3.541 3.541
1.770 1.770 5.311
1.770 5.311 1.770
5.311 1.770 1.770
5.311 5.311 5.311
```

***

Entry 5:
# TePdAu2

Crystalline TePdAu2 at its relaxed geometry (PBE-GGA, OQMD via LeMat-Bulk).

**Offset from the most stable computed form**: 26 meV/atom

POSCAR file:
```
TePdAu2
1.0
5.478 0.000 0.000
-0.085 5.573 0.000
-0.533 -0.024 5.597
Te Pd Au
2 2 4
Cartesian
-0.128 1.388 1.391
4.987 4.161 4.206
2.183 1.418 4.462
2.676 4.130 1.136
-0.068 4.173 1.406
2.254 4.204 3.920
2.605 1.345 1.677
4.927 1.376 4.191
```

***

Entry 6:
# TePdAu

Crystalline TePdAu at its relaxed geometry (PBE-GGA, OQMD via LeMat-Bulk).

**E_tot**: -3.871 eV per atom

POSCAR file:
```
TePdAu
1.0
6.462 0.000 0.000
0.000 6.462 0.000
0.000 0.000 6.462
Te Pd Au
4 4 4
Cartesian
0.000 0.000 0.000
0.000 3.231 3.231
3.231 0.000 3.231
3.231 3.231 0.000
1.615 1.615 1.615
1.615 4.846 4.846
4.846 1.615 4.846
4.846 4.846 1.615
1.615 1.615 4.846
1.615 4.846 1.615
4.846 1.615 1.615
4.846 4.846 4.846
```

***

Entry 7:
# TePdAu2

Crystalline TePdAu2 at its relaxed geometry (PBE-GGA, OQMD via LeMat-Bulk).

**Offset from the most stable computed form**: 48 meV/atom

POSCAR file:
```
TePdAu2
1.0
6.792 0.000 0.000
0.000 6.792 0.000
0.000 0.000 6.792
Te Pd Au
4 4 8
Cartesian
0.000 0.000 0.000
0.000 3.396 3.396
3.396 0.000 3.396
3.396 3.396 0.000
0.000 0.000 3.396
0.000 3.396 0.000
3.396 0.000 0.000
3.396 3.396 3.396
1.698 1.698 1.698
1.698 1.698 5.094
1.698 5.094 1.698
1.698 5.094 5.094
5.094 1.698 1.698
5.094 1.698 5.094
5.094 5.094 1.698
5.094 5.094 5.094
```

***

Entry 8:
# TePdAu2

Crystalline TePdAu2 at its relaxed geometry (PBE-GGA, OQMD via LeMat-Bulk).

**Offset from the most stable computed form**: 0 meV/atom

POSCAR file:
```
TePdAu2
1.0
6.769 0.000 0.000
0.000 6.769 0.000
0.000 0.000 6.769
Te Pd Au
4 4 8
Cartesian
0.000 0.000 0.000
0.000 3.384 3.384
3.384 0.000 3.384
3.384 3.384 0.000
1.692 1.692 5.077
1.692 5.077 1.692
5.077 1.692 1.692
5.077 5.077 5.077
0.000 0.000 3.384
0.000 3.384 0.000
1.692 1.692 1.692
1.692 5.077 5.077
3.384 0.000 0.000
3.384 3.384 3.384
5.077 1.692 5.077
5.077 5.077 1.692
```

***

Entry 9:
# TlTe4PdAu3

Crystalline TlTe4PdAu3 at its relaxed geometry (PBE-GGA, OQMD via LeMat-Bulk).

**E_tot**: -3.367 eV per atom

POSCAR file:
```
TlTe4PdAu3
1.0
6.547 0.000 0.000
0.000 6.547 0.000
0.000 0.000 6.547
Tl Te Pd Au
1 4 1 3
Cartesian
0.000 0.000 0.000
1.718 1.718 1.718
1.718 4.828 4.828
4.828 1.718 4.828
4.828 4.828 1.718
3.273 3.273 3.273
0.000 3.273 3.273
3.273 0.000 3.273
3.273 3.273 0.000
```

***

Entry 10:
# TlTe3PdAu

Crystalline TlTe3PdAu at its relaxed geometry (PBE-GGA, OQMD via LeMat-Bulk).

**Offset from the most stable computed form**: 25 meV/atom

POSCAR file:
```
TlTe3PdAu
1.0
13.169 0.000 0.000
0.000 4.365 0.000
0.000 0.000 11.288
Tl Te Pd Au
4 12 4 4
Cartesian
1.667 1.091 0.326
4.918 3.273 5.970
8.251 1.091 5.318
11.502 3.273 10.962
0.220 3.273 2.640
1.633 1.091 5.879
2.679 3.273 9.317
3.906 1.091 3.673
4.952 3.273 0.235
6.364 1.091 8.284
6.805 3.273 3.004
8.217 1.091 11.053
9.263 3.273 7.615
10.490 1.091 1.971
11.536 3.273 5.409
12.949 1.091 8.648
0.639 3.273 7.279
5.945 1.091 1.635
7.223 3.273 9.653
12.530 1.091 4.009
2.892 3.273 2.243
3.692 1.091 7.887
9.477 3.273 3.401
10.276 1.091 9.045
```

***

Entry 11:
# TlTe3PdAu

Crystalline TlTe3PdAu at its relaxed geometry (PBE-GGA, OQMD via LeMat-Bulk).

**Offset from the most stable computed form**: 0 meV/atom

POSCAR file:
```
TlTe3PdAu
1.0
1.971 -7.277 0.000
1.971 7.277 0.000
0.000 0.000 11.326
Tl Te Pd Au
2 6 2 2
Cartesian
1.971 4.138 8.495
1.971 -4.138 2.832
1.971 5.443 0.147
1.971 5.443 5.516
1.971 0.296 2.832
1.971 -0.296 8.495
1.971 -5.443 5.810
1.971 -5.443 11.179
1.971 0.000 0.000
1.971 0.000 5.663
1.971 5.344 2.832
1.971 -5.344 8.495
```

***

Entry 12:
# ThPd8Au2

Crystalline ThPd8Au2 at its relaxed geometry (PBE-GGA, OQMD via LeMat-Bulk).

**E_form**: -0.441 eV per atom

POSCAR file:
```
ThPd8Au2
1.0
7.276 -2.082 0.000
7.276 2.082 0.000
-1.620 0.000 6.154
Th Pd Au
1 8 2
Cartesian
0.000 0.000 0.000
0.584 0.000 2.835
1.183 0.000 5.604
3.954 0.000 5.001
6.151 0.000 1.709
6.781 0.000 4.445
8.978 0.000 1.153
11.748 0.000 0.550
12.347 0.000 3.319
3.384 0.000 2.210
9.547 0.000 3.944
```